A relaxed BeBi2BPt crystal, computed with PBEsol.

Geometry as POSCAR:
```
BeBi2BPt
1.0
-0.706 -2.782 -2.762
4.993 -0.962 -0.308
-0.452 -3.517 3.658
Be B Bi Pt
1 1 2 1
Direct
0.500 0.500 0.500
0.000 0.000 0.000
0.000 0.000 0.500
0.000 0.500 0.000
0.500 0.000 0.000
```

V: 103.37 Å³ per cell
Formation energy from the elements: 71.3 kJ per mole of atoms
M_tot: 0.000 μB per atom
Total energy: -4.571 eV/atom